MnMoRh after structural relaxation. Source: Alexandria via LeMat-Bulk, functional GGA-PBEsol.

a = 2.6794 Å, b = 3.6883 Å, c = 8.1866 Å
α = 90.00°, β = 90.00°, γ = 90.00°
Space group Imm2 (No. 44)
One atom of each set of equivalent atoms:
Mn (0.0000, 0.0000, 0.0000) x2
Mo (0.0000, 0.0000, 0.6668) x2
Rh (0.0000, 0.0000, 0.3395) x2

Values from the calculation:
N(E_F), states/eV/cell: 7.1
Formation energy, eV/atom: 0.041
Crystal system: orthorhombic
Size of the total moment, μB per formula unit: 2.35

***

Mn4MoRh after structural relaxation. Source: Alexandria via LeMat-Bulk, functional GGA-PBEsol.

a = 6.5446 Å, b = 6.5446 Å, c = 6.5446 Å
α = 90.00°, β = 90.00°, γ = 90.00°
Space group F-43m (No. 216)
One atom of each set of equivalent atoms:
Mn (0.1228, 0.1228, 0.1228) x16
Mo (0.0000, 0.0000, 0.5000) x4
Rh (0.2500, 0.2500, 0.7500) x4

Values from the calculation:
N(E_F), states/eV/cell: 28.5
Formation energy, eV/atom: -0.036
Crystal system: cubic
Size of the total moment, μB per formula unit: 0.88

***

MnMo2Rh after structural relaxation. Source: Alexandria via LeMat-Bulk, functional GGA-PBEsol.

a = 4.5241 Å, b = 4.5241 Å, c = 2.7355 Å
α = 90.00°, β = 90.00°, γ = 90.00°
Space group P4/mmm (No. 123)
One atom of each set of equivalent atoms:
Mn (0.0000, 0.0000, 0.0000) x1
Mo (0.0000, 0.5000, 0.5000) x2
Rh (0.5000, 0.5000, 0.0000) x1

Values from the calculation:
N(E_F), states/eV/cell: 4.7
Formation energy, eV/atom: 0.234
Crystal system: tetragonal
Size of the total moment, μB per formula unit: 1.63

***

MnMoRu after structural relaxation. Source: Alexandria via LeMat-Bulk, functional GGA-PBEsol.

a = 5.6106 Å, b = 5.6106 Å, c = 5.6106 Å
α = 90.00°, β = 90.00°, γ = 90.00°
Space group F-43m (No. 216)
One atom of each set of equivalent atoms:
Mn (0.0000, 0.0000, 0.0000) x4
Mo (0.2500, 0.2500, 0.2500) x4
Ru (0.2500, 0.2500, 0.7500) x4

Values from the calculation:
N(E_F), states/eV/cell: 11.9
Formation energy, eV/atom: 0.621
Energy above the most stable polymorph in this dataset, eV per atom: 0.377
Crystal system: cubic
Size of the total moment, μB per formula unit: 0.00

***

MnMoRu2 after structural relaxation. Source: Alexandria via LeMat-Bulk, functional GGA-PBEsol.

a = 3.0370 Å, b = 4.1913 Å, c = 8.5151 Å
α = 90.00°, β = 90.00°, γ = 90.00°
Space group Imm2 (No. 44)
One atom of each set of equivalent atoms:
Mn (0.0000, 0.0000, 0.0000) x2
Mo (0.0000, 0.5000, 0.7344) x2
Ru (0.0000, 0.0000, 0.4918) x2
Ru (0.0000, 0.5000, 0.2643) x2

Values from the calculation:
N(E_F), states/eV/cell: 9.4
Formation energy, eV/atom: 0.222
Crystal system: orthorhombic
Size of the total moment, μB per formula unit: 2.79

***

MnMoRu after structural relaxation. Source: Alexandria via LeMat-Bulk, functional GGA-PBEsol.

a = 2.6512 Å, b = 2.6512 Å, c = 6.5357 Å
α = 90.00°, β = 90.00°, γ = 120.00°
Space group P3m1 (No. 156)
One atom of each set of equivalent atoms:
Mn (0.0000, 0.0000, 0.0000) x1
Mo (0.3333, 0.6667, 0.6618) x1
Ru (0.6667, 0.3333, 0.3046) x1

Values from the calculation:
N(E_F), states/eV/cell: 3.8
Formation energy, eV/atom: 0.245
Energy above the most stable polymorph in this dataset, eV per atom: 0.000
Crystal system: trigonal
Size of the total moment, μB per formula unit: 1.04

***

Mn4MoRu after structural relaxation. Source: Alexandria via LeMat-Bulk, functional GGA-PBEsol.

a = 6.5334 Å, b = 6.5334 Å, c = 6.5334 Å
α = 90.00°, β = 90.00°, γ = 90.00°
Space group F-43m (No. 216)
One atom of each set of equivalent atoms:
Mn (0.1234, 0.1234, 0.1234) x16
Mo (0.0000, 0.0000, 0.5000) x4
Ru (0.2500, 0.2500, 0.7500) x4

Values from the calculation:
N(E_F), states/eV/cell: 10.1
Formation energy, eV/atom: -0.036
Crystal system: cubic
Size of the total moment, μB per formula unit: 0.00

***

MnSbMo2 after structural relaxation. Source: Alexandria via LeMat-Bulk, functional GGA-PBEsol.

a = 3.0493 Å, b = 3.0493 Å, c = 24.2058 Å
α = 90.00°, β = 90.00°, γ = 120.00°
Space group R3m (No. 160, hexagonal axes)
One atom of each set of equivalent atoms:
Mn (0.0000, 0.0000, 0.0000) x3
Sb (0.0000, 0.0000, 0.7532) x3
Mo (0.0000, 0.0000, 0.2597) x3
Mo (0.0000, 0.0000, 0.5129) x3

Values from the calculation:
N(E_F), states/eV/cell: 11.2
E_form (uncorrected), kJ/mol of formula units: 173.4
Crystal system: trigonal
Size of the total moment, μB per formula unit: 1.69